This record from the Alexandria database describes an optimized crystal structure of TbCo2SbO6. The functional is PBE+U.

Output
uncorrected energy = -64.47 eV/cell
crystal system = trigonal
M_tot = 0.00 Bohr magnetons per cell

Cell: 5.4025 5.4025 5.3061 Å, 59.40 59.40 60.00°
Closest atoms and distances in Å follow each position.
Atoms (fractional coordinates):
1 Tb 0.7813 0.7813 0.6561  6 O 2.27-2.47
2 Sb 0.2946 0.2946 0.1161  6 O 2.22-2.27
3 O 0.8539 0.6807 0.2138  2 Co 1.94-1.95
4 Co 0.5193 0.5193 0.4421  6 O 1.94-1.97
5 O 0.7277 0.1827 0.7366  2 Co 1.97
6 O 0.6807 0.2516 0.2137  2 Co 1.94-1.95
7 Co 0.0167 0.0167 0.9498  6 O 1.95-1.97
8 O 0.3529 0.7277 0.7366  2 Co 1.97
9 O 0.1827 0.3529 0.7366  2 Co 1.97
10 O 0.2516 0.8539 0.2137  2 Co 1.94-1.95